Density functional theory data (PBE-GGA) for an optimized crystal structure of Cd2RhBr.

- E_form (uncorrected) (eV/atom) = 0.1753
- energy above the lowest structure with this stoichiometry (meV/atom) = 349
- E_tot (eV/atom) = -2.538
- DOS(E_F) (states/eV/cell) = 4.620
- spin magnetization (μB/f.u.) = 0.33

Cell: 3.1920 3.1920 8.2795 Å, 90.00 90.00 90.00°
Fractional coordinates of all 4 atoms:
Cd  0.0000  0.0000  0.0000
Cd  0.5000  0.5000  0.2749
Rh  0.0000  0.0000  0.4810
Br  0.5000  0.5000  0.6872

Density functional theory data (PBE-GGA) for an optimized crystal structure of CdRhBr.

- E_form (uncorrected) (eV/atom) = 0.2588
- energy above the lowest structure with this stoichiometry (meV/atom) = 124
- E_tot (eV/atom) = -3.054
- DOS(E_F) (states/eV/cell) = 12.293
- spin magnetization (μB/f.u.) = 0.00

Cell: 6.4222 6.4222 6.4222 Å, 90.00 90.00 90.00°
Fractional coordinates of all 12 atoms:
Cd  0.0000  0.0000  0.0000
Cd  0.0000  0.5000  0.5000
Cd  0.5000  0.0000  0.5000
Cd  0.5000  0.5000  0.0000
Rh  0.2500  0.2500  0.2500
Rh  0.2500  0.7500  0.7500
Rh  0.7500  0.2500  0.7500
Rh  0.7500  0.7500  0.2500
Br  0.0000  0.0000  0.5000
Br  0.0000  0.5000  0.0000
Br  0.5000  0.0000  0.0000
Br  0.5000  0.5000  0.5000